CaPb3S4, optimized geometry, DFT GGA-PBE; symmetry = Cmmm, No. 65; total magnetic moment = 0.0 Bohr magnetons per cell; DFT total energy = -4.6339 eV per atom; E_form (uncorrected) = -0.929 eV/atom
1.0
4.1910 0.0000 0.0000
0.0000 7.2782 -0.0618
0.0000 -2.3533 6.8876
Ca S Pb
1 4 3
Direct
0.5000 0.0000 0.0000
0.0000 0.7610 0.7610
0.0000 0.2390 0.2390
0.5000 0.7561 0.2439
0.5000 0.2439 0.7561
0.0000 0.0000 0.5000
0.5000 0.5000 0.5000
0.0000 0.5000 0.0000


SrAgRu2, optimized geometry, DFT GGA-PBE; symmetry = R-3m, No. 166; total magnetic moment = 1.3 Bohr magnetons per cell; energy relative to the elements = 0.968 eV per atom; DFT total energy = -4.8030 eV per atom
1.0
-5.4192 -7.9191 -3.0762
-2.7624 -8.9957 -3.6041
-3.9283 -9.2316 -0.9430
Ag Sr Ru
1 1 2
Direct
0.7500 0.7500 0.7500
0.2500 0.2500 0.2500
0.0054 0.0054 0.0054
0.4946 0.4946 0.4946


SiNiW4, optimized geometry, DFT GGA-PBE; symmetry = F-43m, No. 216; total magnetic moment = 0.0 Bohr magnetons per cell; DFT total energy = -9.6576 eV per atom; E_form (uncorrected) = 0.845 eV/atom
1.0
4.0749 -2.3500 2.2592
2.8864 2.5771 3.5012
-0.2180 -1.3238 5.0429
Si W Ni
1 4 1
Direct
0.0000 0.0000 0.0000
0.3753 0.3753 0.8740
0.8740 0.3753 0.3753
0.3753 0.3753 0.3753
0.3753 0.8740 0.3753
0.7500 0.7500 0.7500


Cd3GaAu, optimized geometry, DFT GGA-PBE; symmetry = Pm-3m, No. 221; total magnetic moment = 0.0 Bohr magnetons per cell; energy relative to the elements = 0.329 eV per atom; DFT total energy = -1.4813 eV per atom
1.0
-1.9661 4.0127 -2.4706
-4.6997 -1.4742 1.3456
0.3442 2.7921 4.2611
Cd Ga Au
3 1 1
Direct
0.0000 0.5000 0.0000
0.0000 0.0000 0.5000
0.5000 0.0000 0.0000
0.0000 0.0000 0.0000
0.5000 0.5000 0.5000


Pr4Te2PSe, optimized geometry, DFT GGA-PBE; symmetry = P2/m, No. 10; total magnetic moment = 0.0 Bohr magnetons per cell; DFT total energy = -5.9163 eV per atom; E_form (uncorrected) = -1.629 eV/atom
1.0
4.3206 0.0000 0.0000
0.0000 7.5118 0.1397
0.0000 -2.6197 7.3131
Se Te Pr P
1 2 4 1
Direct
0.5000 0.5000 0.0000
0.0000 0.5000 0.5000
0.5000 0.0000 0.5000
0.5000 0.2276 0.2139
0.0000 0.7505 0.2171
0.5000 0.7724 0.7861
0.0000 0.2495 0.7829
0.0000 0.0000 0.0000


Sm2ScHg6, optimized geometry, DFT GGA-PBE; symmetry = C2/m, No. 12; total magnetic moment = 0.0 Bohr magnetons per cell; energy relative to the elements = -0.352 eV per atom; DFT total energy = -2.3054 eV per atom
1.0
-1.3167 -1.1818 2.8770
7.8150 0.2483 3.6787
-3.8954 8.0352 -2.4158
Hg Sc Sm
6 1 2
Direct
0.1687 0.9998 0.6707
0.5000 0.3295 0.0000
0.8313 0.0002 0.3293
0.1687 0.6708 0.6707
0.8313 0.3292 0.3293
0.5000 0.6705 0.0000
0.0000 0.0000 0.0000
0.6669 0.3334 0.6668
0.3331 0.6666 0.3332


Be2RePb, optimized geometry, DFT GGA-PBE; symmetry = P4/mmm, No. 123; total magnetic moment = 0.0 Bohr magnetons per cell; energy relative to the elements = 0.703 eV per atom; DFT total energy = -5.1996 eV per atom
1.0
4.0823 0.0000 0.0000
0.0000 4.0829 0.0000
0.0000 0.0000 3.3454
Be Re Pb
2 1 1
Direct
0.0000 0.0000 0.0000
0.5000 0.5000 0.0000
0.0000 0.5000 0.5000
0.5000 0.0000 0.5000


Ba2TcTe, optimized geometry, DFT GGA-PBE; symmetry = I-42d, No. 122; total magnetic moment = 6.0 Bohr magnetons per cell; DFT total energy = -3.8983 eV per atom; E_form (uncorrected) = 0.440 eV/atom
1.0
7.5422 0.0000 0.0000
0.0000 7.5422 0.0000
3.7711 3.7711 7.9446
Ba Te Tc
4 2 2
Direct
0.1371 0.6250 0.2500
0.3750 0.3871 0.7500
0.6129 0.1250 0.2500
0.8750 0.8629 0.7500
0.7500 0.2500 0.5000
0.0000 0.0000 0.0000
0.5000 0.5000 0.0000
0.2500 0.7500 0.5000